1.
Density functional theory data (SCAN) for a PBEsol-optimized structure of CaInHg.

Cell lengths 6.3839, 6.3839, 6.3839 Å; angles 147.48, 147.48, 46.65 degrees
Last column: nearest neighbours and their distance in Å.
Sites, in units of the cell vectors:
1 Ca 0.0000 0.0000 0.0000  4 Hg 3.16, 4 In 3.34
2 In 0.6864 0.6864 0.0000  4 Hg 3.09, 4 Ca 3.34
3 Hg 0.3376 0.3376 0.0000  4 In 3.09, 4 Ca 3.16

Computed properties:
SG ... I4mm (107)
Formation enthalpy at 0 K ... -489 meV/atom
DOS at the Fermi energy ... 1.08 states/eV/f.u.

2.
Density functional theory data (SCAN) for a PBEsol-optimized structure of Sr4MnIn.

Cell lengths 6.8870, 6.8870, 6.8870 Å; angles 60.00, 60.00, 60.00 degrees
Last column: nearest neighbours and their distance in Å.
Sites, in units of the cell vectors:
1 Sr 0.1251 0.1251 0.1251  6 Sr 3.44-3.45
2 Sr 0.1251 0.1251 0.6246  6 Sr 3.44-3.45
3 Sr 0.1251 0.6246 0.1251  6 Sr 3.44-3.45
4 Sr 0.6246 0.1251 0.1251  6 Sr 3.44-3.45
5 Mn 0.7500 0.7500 0.7500  12 Sr 4.04, 4 In 4.22
6 In 0.5000 0.5000 0.5000  12 Sr 4.04, 4 Mn 4.22

Computed properties:
SG ... F-43m (216)
Formation enthalpy at 0 K ... 533 meV/atom
DOS at the Fermi energy ... 5.83 states/eV/f.u.

3.
Density functional theory data (SCAN) for a PBEsol-optimized structure of Li2Fe3Co3O12.

Cell lengths 5.4668, 5.5712, 7.0606 Å; angles 80.33, 81.18, 70.28 degrees
Last column: nearest neighbours and their distance in Å.
Sites, in units of the cell vectors:
1 Li 0.0039 0.2389 0.0604  3 O 1.97-2.04
2 Li 0.9961 0.7611 0.9396  3 O 1.97-2.04
3 Fe 0.4948 0.1704 0.8250  6 O 1.85-1.94
4 Fe 0.5000 0.5000 0.5000  4 O 1.80-1.84
5 Fe 0.5052 0.8296 0.1750  6 O 1.85-1.94
6 Co 0.0000 0.5000 0.5000  4 O 1.86-1.88
7 Co 0.4986 0.6618 0.8298  5 O 1.81-1.91
8 Co 0.5014 0.3382 0.1702  5 O 1.81-1.91
9 O 0.0565 0.2436 0.3400  1 O 1.44
10 O 0.2995 0.3071 0.6170  2 Fe 1.80-1.85, 1 Co 1.86
11 O 0.2986 0.6157 0.2965  2 Fe 1.84-1.92, 1 Co 1.85
12 O 0.2988 0.9540 0.9577  1 Co 1.91, 2 Fe 1.91-1.94, 1 Li 1.99
13 O 0.3035 0.4485 0.9550  1 Fe 1.85, 2 Co 1.88-1.90, 1 Li 1.97
14 O 0.3332 0.1226 0.3021  1 O 1.44
15 O 0.6668 0.8774 0.6979  1 O 1.44
16 O 0.6965 0.5515 0.0450  1 Fe 1.85, 2 Co 1.88-1.90, 1 Li 1.97
17 O 0.7012 0.0460 0.0423  1 Co 1.91, 2 Fe 1.91-1.94, 1 Li 1.99
18 O 0.7014 0.3843 0.7035  2 Fe 1.84-1.92, 1 Co 1.85
19 O 0.7005 0.6929 0.3830  2 Fe 1.80-1.85, 1 Co 1.86
20 O 0.9435 0.7564 0.6600  1 O 1.44

Computed properties:
Formation energy from raw total energies ... -1252 meV/atom
SG ... P-1 (2)
DOS at the Fermi energy ... 2.95 states/eV/f.u.

4.
Density functional theory data (SCAN) for a PBEsol-optimized structure of YAg.

Cell lengths 5.7313, 5.7313, 4.7352 Å; angles 90.00, 90.00, 142.64 degrees
Last column: nearest neighbours and their distance in Å.
Sites, in units of the cell vectors:
1 Y 0.1423 0.8577 0.7500  7 Ag 3.02-3.07
2 Y 0.8577 0.1423 0.2500  7 Ag 3.02-3.07
3 Ag 0.4209 0.5791 0.7500  2 Ag 2.93, 7 Y 3.02-3.07
4 Ag 0.5791 0.4209 0.2500  2 Ag 2.93, 7 Y 3.02-3.07

Computed properties:
SG ... Cmcm (63)
Formation enthalpy at 0 K ... -395 meV/atom
DOS at the Fermi energy ... 1.54 states/eV/f.u.

Question: Number 4 is which compound?
Answer: YAg

Question: DOS at the Fermi energy of number 4 (YAg)?
Answer: 1.54 states/eV/f.u.

Repeat the second record exactly.
Density functional theory data (SCAN) for a PBEsol-optimized structure of Sr4MnIn.

Cell lengths 6.8870, 6.8870, 6.8870 Å; angles 60.00, 60.00, 60.00 degrees
Last column: nearest neighbours and their distance in Å.
Sites, in units of the cell vectors:
1 Sr 0.1251 0.1251 0.1251  6 Sr 3.44-3.45
2 Sr 0.1251 0.1251 0.6246  6 Sr 3.44-3.45
3 Sr 0.1251 0.6246 0.1251  6 Sr 3.44-3.45
4 Sr 0.6246 0.1251 0.1251  6 Sr 3.44-3.45
5 Mn 0.7500 0.7500 0.7500  12 Sr 4.04, 4 In 4.22
6 In 0.5000 0.5000 0.5000  12 Sr 4.04, 4 Mn 4.22

Computed properties:
SG ... F-43m (216)
Formation enthalpy at 0 K ... 533 meV/atom
DOS at the Fermi energy ... 5.83 states/eV/f.u.

Question: DOS at the Fermi energy of number 3 (Li2Fe3Co3O12)?
Answer: 2.95 states/eV/f.u.